KHoCr2O8 | the Alexandria database | PBE with a Hubbard U | optimized geometry; uncorrected energy = -6.93 eV/atom; DOS(E_F) = 0.000 states/eV per atom
1.0
-2.380 1.358 -5.070
-3.313 -0.546 4.684
0.957 7.446 1.545
Cr O K Ho
2 8 1 1
Direct
0.333 0.667 0.755 Cr
0.667 0.333 0.245 Cr
0.826 0.651 0.317 O
0.651 0.826 0.683 O
0.174 0.349 0.683 O
0.667 0.333 0.034 O
0.333 0.667 0.966 O
0.349 0.174 0.317 O
0.174 0.826 0.683 O
0.826 0.174 0.317 O
0.000 0.000 0.000 K
0.000 0.000 0.500 Ho